KOs4 after structural relaxation, computed with PBE.

a = 4.926 Å, b = 4.926 Å, c = 4.926 Å
α = 109.47°, β = 109.47°, γ = 109.47°
Atoms (fractional coordinates):
K1 0.000 0.000 0.000
Os1 0.500 0.000 0.000
Os2 0.500 0.500 0.500
Os3 0.000 0.500 0.000
Os4 0.000 0.000 0.500

Results
The value obtained for the calculated formation energy is 3.516 eV/atom. The space-group type is Im-3m (229). The energy above the most stable polymorph in this dataset is 0 meV per atom. Its density of states at the Fermi level is 8.60 states/eV/cell.



KOs3 after structural relaxation, computed with PBE.

a = 6.597 Å, b = 6.597 Å, c = 8.226 Å
α = 90.00°, β = 90.00°, γ = 120.00°
Atoms (fractional coordinates):
K1 0.000 0.000 0.000
K2 0.000 0.000 0.500
K3 0.333 0.667 0.250
K4 0.667 0.333 0.750
Os1 0.500 0.000 0.000
Os2 0.500 0.000 0.500
Os3 0.000 0.500 0.000
Os4 0.500 0.500 0.000
Os5 0.500 0.500 0.500
Os6 0.000 0.500 0.500
Os7 0.793 0.585 0.250
Os8 0.207 0.415 0.750
Os9 0.415 0.207 0.250
Os10 0.793 0.207 0.250
Os11 0.207 0.793 0.750
Os12 0.585 0.793 0.750

Results
The value obtained for the calculated formation energy is 1.859 eV/atom. The space-group type is P6_3/mmc (194). The energy above the most stable polymorph in this dataset is 1073 meV per atom. Its density of states at the Fermi level is 21.14 states/eV/cell.



- Which formula does entry 2 have?
  KOs3